Record 1
Below is Cd2SiSb after structural relaxation, with properties calculated at the PBE level.

Computed properties:
symmetry: I-42d
VASP energy: -18.8 eV/cell
E_form (uncorrected): 0.4916 eV/atom

Cell: 6.304 6.304 7.639 Å, 65.63 65.63 90.00°
Element x y z (fractional)
Sb1 0.000 0.000 0.000
Sb2 0.750 0.250 0.500
Si1 0.500 0.500 0.000
Si2 0.250 0.750 0.500
Cd1 0.592 0.125 0.250
Cd2 0.158 0.625 0.250
Cd3 0.375 0.408 0.750
Cd4 0.875 0.842 0.750

---

Record 2
Below is Cd2SiSb after structural relaxation, with properties calculated at the PBE level.

Computed properties:
symmetry: F-43m
VASP energy: -10.0 eV/cell
E_form (uncorrected): 0.3531 eV/atom

Cell: 5.063 5.063 5.063 Å, 60.00 60.00 60.00°
Element x y z (fractional)
Cd1 0.000 0.000 0.000
Cd2 0.250 0.250 0.250
Sb1 0.500 0.500 0.500
Si1 0.750 0.750 0.750